Record 1
This record from Alexandria via LeMat-Bulk describes an optimized crystal structure of TbPr4Dy5. The functional is PBE.

Cell and atoms, written as POSCAR:
```
TbPr4Dy5
1.0
3.6274 0.0000 0.0000
0.0000 3.6274 0.0000
0.0000 0.0000 25.3474
Tb Pr Dy
1 4 5
Direct
0.0000 0.0000 0.0000
0.0000 0.0000 0.1981
0.0000 0.0000 0.3993
0.0000 0.0000 0.6007
0.0000 0.0000 0.8019
0.5000 0.5000 0.0969
0.5000 0.5000 0.2985
0.5000 0.5000 0.5000
0.5000 0.5000 0.7015
0.5000 0.5000 0.9031
```

Output
* energy of formation from the pure elements: 19 meV per atom
* space-group type: No. 123

***

Record 2
This record from Alexandria via LeMat-Bulk describes an optimized crystal structure of La2SmTc. The functional is PBE.

Cell and atoms, written as POSCAR:
```
La2SmTc
1.0
3.6736 0.0000 0.0000
-1.8368 3.1815 0.0000
0.0000 0.0000 30.5212
La Sm Tc
6 3 3
Direct
0.0000 0.0000 0.2324
0.0000 0.0000 0.7676
0.3333 0.6667 0.4343
0.3333 0.6667 0.8990
0.6667 0.3333 0.1010
0.6667 0.3333 0.5657
0.0000 0.0000 0.0000
0.3333 0.6667 0.6667
0.6667 0.3333 0.3333
0.0000 0.0000 0.5000
0.3333 0.6667 0.1667
0.6667 0.3333 0.8333
```

Output
* energy of formation from the pure elements: 260 meV per atom
* space-group type: No. 166
* polymorph energy (0 for the lowest one): 284 meV per atom

***

Record 3
This record from Alexandria via LeMat-Bulk describes an optimized crystal structure of BaFeOs. The functional is PBE.

Cell and atoms, written as POSCAR:
```
BaFeOs
1.0
3.3681 0.0000 0.0000
0.0000 3.3792 0.0000
0.0000 0.0000 11.7335
Ba Fe Os
2 2 2
Direct
0.0000 0.0000 0.0000
0.5000 0.5000 0.5000
0.0000 0.0000 0.2761
0.5000 0.5000 0.7761
0.0000 0.0000 0.7176
0.5000 0.5000 0.2176
```

Output
* energy of formation from the pure elements: 703 meV per atom
* space-group type: No. 44
* polymorph energy (0 for the lowest one): 357 meV per atom

***

Record 4
This record from Alexandria via LeMat-Bulk describes an optimized crystal structure of Fe2Tc. The functional is PBE.

Cell and atoms, written as POSCAR:
```
Fe2Tc
1.0
4.1096 0.0000 0.0000
-2.0548 3.5590 0.0000
0.0000 0.0000 5.0007
Fe Tc
4 2
Direct
0.0000 0.0000 0.0000
0.0000 0.0000 0.5000
0.3333 0.6667 0.2500
0.6667 0.3333 0.7500
0.3333 0.6667 0.7500
0.6667 0.3333 0.2500
```

Output
* energy of formation from the pure elements: 184 meV per atom
* space-group type: No. 194
* polymorph energy (0 for the lowest one): 164 meV per atom

***

Record 5
This record from Alexandria via LeMat-Bulk describes an optimized crystal structure of AcSmDyAg. The functional is PBE.

Cell and atoms, written as POSCAR:
```
AcSmDyAg
1.0
7.9201 0.0000 0.0000
0.0000 7.9201 0.0000
0.0000 0.0000 7.9201
Ac Sm Dy Ag
4 4 4 4
Direct
0.0000 0.0000 0.0000
0.0000 0.5000 0.5000
0.5000 0.0000 0.5000
0.5000 0.5000 0.0000
0.2500 0.2500 0.7500
0.2500 0.7500 0.2500
0.7500 0.2500 0.2500
0.7500 0.7500 0.7500
0.2500 0.2500 0.2500
0.2500 0.7500 0.7500
0.7500 0.2500 0.7500
0.7500 0.7500 0.2500
0.0000 0.0000 0.5000
0.0000 0.5000 0.0000
0.5000 0.0000 0.0000
0.5000 0.5000 0.5000
```

Output
* energy of formation from the pure elements: 173 meV per atom
* space-group type: No. 216

***

Record 6
This record from Alexandria via LeMat-Bulk describes an optimized crystal structure of KFeNi2. The functional is PBE.

Cell and atoms, written as POSCAR:
```
KFeNi2
1.0
2.6486 0.0000 0.0000
0.0000 3.5933 0.0000
0.0000 0.0000 7.4344
K Fe Ni
1 1 2
Direct
0.0000 0.0000 0.0000
0.5000 0.5000 0.6332
0.0000 0.0000 0.4935
0.5000 0.5000 0.3272
```

Output
* energy of formation from the pure elements: 567 meV per atom
* space-group type: No. 25
* polymorph energy (0 for the lowest one): 127 meV per atom

***

Record 7
This record from Alexandria via LeMat-Bulk describes an optimized crystal structure of LiAl5Zn6. The functional is PBE.

Cell and atoms, written as POSCAR:
```
LiAl5Zn6
1.0
4.0022 0.0000 0.0000
0.0000 7.8296 0.0000
-1.8101 0.0000 6.0142
Li Al Zn
1 5 6
Direct
0.0000 0.0000 0.0000
0.0000 0.5000 0.0000
0.3318 0.0000 0.6670
0.3323 0.5000 0.6659
0.6682 0.0000 0.3330
0.6677 0.5000 0.3341
0.1663 0.2491 0.3312
0.1663 0.7509 0.3312
0.5000 0.2455 0.0000
0.5000 0.7545 0.0000
0.8337 0.2491 0.6688
0.8337 0.7509 0.6688
```

Output
* energy of formation from the pure elements: -25 meV per atom
* space-group type: No. 10

***

Record 8
This record from Alexandria via LeMat-Bulk describes an optimized crystal structure of Cu6NiAu8. The functional is PBE.

Cell and atoms, written as POSCAR:
```
Cu6NiAu8
1.0
7.3675 0.0000 0.0000
-3.6837 6.3804 0.0000
0.0000 0.0000 5.2645
Cu Ni Au
6 1 8
Direct
0.0006 0.6792 0.1492
0.3214 0.0006 0.8508
0.3208 0.3214 0.1492
0.6792 0.6786 0.8508
0.6786 0.9994 0.1492
0.9994 0.3208 0.8508
0.0000 0.0000 0.0000
0.9995 0.3331 0.3509
0.0005 0.6669 0.6491
0.3331 0.3336 0.6491
0.3333 0.6667 0.9982
0.3336 0.0005 0.3509
0.6664 0.9995 0.6491
0.6667 0.3333 0.0018
0.6669 0.6664 0.3509
```

Output
* energy of formation from the pure elements: 81 meV per atom
* space-group type: No. 147

***

Record 9
This record from Alexandria via LeMat-Bulk describes an optimized crystal structure of Ta4NbC2. The functional is PBE.

Cell and atoms, written as POSCAR:
```
Ta4NbC2
1.0
4.8119 0.0000 0.0000
0.0000 4.8119 0.0000
0.0000 0.0000 10.6560
Ta Nb C
8 2 4
Direct
0.0000 0.0000 0.2484
0.0000 0.0000 0.7516
0.0000 0.5000 0.0000
0.0000 0.5000 0.5000
0.5000 0.0000 0.0000
0.5000 0.0000 0.5000
0.5000 0.5000 0.2516
0.5000 0.5000 0.7484
0.0000 0.0000 0.5000
0.5000 0.5000 0.0000
0.0000 0.0000 0.0639
0.0000 0.0000 0.9361
0.5000 0.5000 0.4361
0.5000 0.5000 0.5639
```

Output
* energy of formation from the pure elements: 1230 meV per atom
* space-group type: No. 139

***

Record 10
This record from Alexandria via LeMat-Bulk describes an optimized crystal structure of RbZnAu. The functional is PBE.

Cell and atoms, written as POSCAR:
```
RbZnAu
1.0
10.2622 0.0000 0.0000
0.0000 4.5299 0.0000
0.0000 0.0000 8.0203
Rb Zn Au
4 4 4
Direct
0.0000 0.2500 0.2504
0.0000 0.7500 0.7496
0.5000 0.2500 0.2496
0.5000 0.7500 0.7504
0.2501 0.2500 0.5851
0.2499 0.7500 0.0851
0.7501 0.2500 0.9149
0.7499 0.7500 0.4149
0.2497 0.2500 0.9134
0.2503 0.7500 0.4134
0.7497 0.2500 0.5866
0.7503 0.7500 0.0866
```

Output
* energy of formation from the pure elements: -199 meV per atom
* space-group type: No. 62
* polymorph energy (0 for the lowest one): 3 meV per atom